A relaxed structure of CaCdW2, computed with PBE.

## Properties
Total moment in μB per atom: 0.00
Formation energy in eV per atom: 0.772
VASP energy in eV/atom: -6.43

Unit cell a=3.124 b=4.745 c=10.550 alpha=90.00 beta=90.00 gamma=90.00
Space group Immm (No. 71)
Inequivalent atoms, fractional coordinates:
Ca  0.000  0.000  0.000 x2
Cd  0.000  0.000  0.500 x2
W  0.000  0.500  0.237 x4

---

A relaxed structure of Ca3CdW, computed with PBE.

## Properties
Total moment in μB per atom: 0.81
Formation energy in eV per atom: 1.180
VASP energy in eV/atom: -2.79

Unit cell a=5.747 b=5.747 c=5.747 alpha=90.00 beta=90.00 gamma=90.00
Space group Pm-3m (No. 221)
Inequivalent atoms, fractional coordinates:
Ca  0.000  0.000  0.500 x3
Cd  0.000  0.000  0.000 x1
W  0.500  0.500  0.500 x1

---

A relaxed structure of CaCdW2, computed with PBE.

## Properties
Total moment in μB per atom: 0.00
Formation energy in eV per atom: 0.763
VASP energy in eV/atom: -6.44

Unit cell a=6.736 b=6.736 c=6.736 alpha=90.00 beta=90.00 gamma=90.00
Space group F-43m (No. 216)
Inequivalent atoms, fractional coordinates:
Ca  0.000  0.000  0.000 x4
Cd  0.250  0.250  0.250 x4
W  0.000  0.000  0.500 x4
W  0.250  0.250  0.750 x4